Compound: BaCoAsO
Source: OQMD via LeMat-Bulk
Functional: PBE with a Hubbard U
Structure: optimized geometry

Cell: 4.3488 4.3488 9.3706 Å, 90.00 90.00 90.00°
Positions (direct):
As1 0.7500 0.7500 0.3903
As2 0.2500 0.2500 0.6097
Ba1 0.2500 0.2500 0.1370
Ba2 0.7500 0.7500 0.8630
Co1 0.7500 0.2500 0.5000
Co2 0.2500 0.7500 0.5000
O1 0.7500 0.2500 0.0000
O2 0.2500 0.7500 0.0000

Computed properties:
E_tot = -5.09 eV/atom
space group = P4/nmm (129)